Entry 1:
Rb6SeBr3Cl2 | GGA-PBE | optimized geometry

Properties
**Space-group type**: C2/m (12)
**M_tot**: 0.08 μB/atom
**Formation energy without anion corrections**: -1.585 eV/atom

Lattice parameters (Å, degrees): 8.595 8.595 8.323 99.93 99.93 119.84
Sites, in units of the cell vectors:
Rb 0.073 0.419 0.760
Rb 0.233 0.233 0.239
Rb 0.419 0.073 0.760
Rb 0.581 0.927 0.240
Rb 0.767 0.767 0.761
Rb 0.927 0.581 0.240
Se 0.500 0.500 0.000
Br 0.000 0.000 0.500
Br 0.338 0.662 0.500
Br 0.662 0.338 0.500
Cl 0.167 0.833 0.000
Cl 0.833 0.167 0.000

=====

Entry 2:
GdYZrSc | GGA-PBE | optimized geometry

Properties
**Space-group type**: F-43m (216)
**M_tot**: 1.42 μB/atom
**DFT formation energy**: 0.20 eV/atom

Lattice parameters (Å, degrees): 5.383 5.383 5.383 60.00 60.00 60.00
Sites, in units of the cell vectors:
Gd 0.000 0.000 0.000
Y 0.500 0.500 0.500
Zr 0.750 0.750 0.750
Sc 0.250 0.250 0.250

=====

Entry 3:
Hf2ScTc2 | GGA-PBE | optimized geometry

Properties
**Space-group type**: P4/mbm (127)
**M_tot**: 0.00 μB/atom
**DFT formation energy**: -0.19 eV/atom

Lattice parameters (Å, degrees): 7.564 7.564 3.340 90.00 90.00 90.00
Sites, in units of the cell vectors:
Hf 0.149 0.351 0.000
Hf 0.351 0.851 0.000
Hf 0.649 0.149 0.000
Hf 0.851 0.649 0.000
Sc 0.000 0.000 0.500
Sc 0.500 0.500 0.500
Tc 0.149 0.649 0.500
Tc 0.351 0.149 0.500
Tc 0.649 0.851 0.500
Tc 0.851 0.351 0.500

=====

Among the records above, which one has the highest M_tot?
GdYZrSc